[1]
Entry from Alexandria: crystalline Rb2TlHg2Pd at its relaxed geometry (PBE-GGA).

## Properties
energy relative to the elements	-0.139	eV per atom

abc: 7.0030 8.5553 9.1460
angles: 117.89 112.51 90.00
Closest atoms and distances in Å follow each position.
Sites, in units of the cell vectors:
Rb1 0.6733 0.8650 0.3466  2 Pd 3.48, 5 Hg 3.62-3.81
Rb2 0.1733 0.4815 0.3466  2 Pd 3.48, 5 Hg 3.62-3.81
Rb3 0.8267 0.5185 0.6534  2 Pd 3.48, 5 Hg 3.62-3.81
Rb4 0.3267 0.1350 0.6534  2 Pd 3.48, 5 Hg 3.62-3.81
Tl1 0.2500 0.0000 0.0000  4 Hg 3.15, 2 Tl 3.50
Tl2 0.7500 0.0000 0.0000  4 Hg 3.15, 2 Tl 3.50
Hg1 0.4257 0.6464 0.8515  2 Pd 2.79
Hg2 0.5743 0.3536 0.1485  2 Pd 2.79
Hg3 0.0743 0.7949 0.1485  2 Pd 2.79
Hg4 0.9257 0.2051 0.8515  2 Pd 2.79
Pd1 0.7500 0.5000 0.0000  4 Hg 2.79
Pd2 0.2500 0.5000 0.0000  4 Hg 2.79


[2]
Entry from Alexandria: crystalline Pr14ErIn at its relaxed geometry (PBE-GGA).

## Properties
energy relative to the elements	-0.044	eV per atom

abc: 7.3065 7.3065 10.4010
angles: 90.00 90.00 89.99
Closest atoms and distances in Å follow each position.
Sites, in units of the cell vectors:
Pr1 0.3754 0.6246 0.5000  12 Pr 3.65-3.73
Pr2 0.8748 0.1252 0.5000  12 Pr 3.65-3.70
Pr3 0.8748 0.6249 0.0000  8 Pr 3.62, 2 In 3.65-3.66, 2 Er 3.65
Pr4 0.8754 0.6253 0.5000  12 Pr 3.65-3.71
Pr5 0.3751 0.1252 0.0000  8 Pr 3.62, 2 In 3.65-3.66, 2 Er 3.65
Pr6 0.3747 0.1246 0.5000  12 Pr 3.65-3.71
Pr7 0.6270 0.8770 0.7561  1 In 3.61, 10 Pr 3.62-3.73, 1 Er 3.64
Pr8 0.6270 0.8770 0.2439  1 In 3.61, 10 Pr 3.62-3.73, 1 Er 3.64
Pr9 0.1230 0.3730 0.7561  1 In 3.61, 10 Pr 3.62-3.73, 1 Er 3.64
Pr10 0.1230 0.3730 0.2439  1 In 3.61, 10 Pr 3.62-3.73, 1 Er 3.64
Pr11 0.1229 0.8771 0.7562  1 In 3.61, 10 Pr 3.62-3.73, 1 Er 3.63
Pr12 0.1229 0.8771 0.2438  1 In 3.61, 10 Pr 3.62-3.73, 1 Er 3.63
Pr13 0.6272 0.3728 0.7560  1 In 3.60, 10 Pr 3.62-3.72, 1 Er 3.64
Pr14 0.6272 0.3728 0.2440  1 In 3.60, 10 Pr 3.62-3.72, 1 Er 3.64
Er1 0.3750 0.6250 0.0000  12 Pr 3.63-3.65
In1 0.8746 0.1254 0.0000  12 Pr 3.60-3.66


[3]
Entry from Alexandria: crystalline K4YHf2 at its relaxed geometry (PBE-GGA).

## Properties
energy relative to the elements	1.456	eV per atom

abc: 6.6566 6.6566 10.0273
angles: 70.61 70.61 90.00
Closest atoms and distances in Å follow each position.
Sites, in units of the cell vectors:
Y1 0.0000 0.0000 0.0000  4 K 3.33
K1 0.7865 0.7865 0.4271  1 Y 3.78, 1 Hf 3.80
K2 0.2135 0.2135 0.5729  1 Y 3.78, 1 Hf 3.80
K3 0.0000 0.5000 0.0000  2 Y 3.33, 4 Hf 3.56
K4 0.5000 0.0000 0.0000  2 Y 3.33, 4 Hf 3.56
Hf1 0.5721 0.5721 0.8559  1 Hf 2.55
Hf2 0.4279 0.4279 0.1441  1 Hf 2.55


[4]
Entry from Alexandria: crystalline CuTcAs2 at its relaxed geometry (PBE-GGA).

## Properties
distance to the lowest polymorph of the same formula	0.0	kJ/mol of atoms
energy relative to the elements	0.014	eV per atom

abc: 7.6665 7.6665 7.6665
angles: 23.50 23.50 23.50
Closest atoms and distances in Å follow each position.
Sites, in units of the cell vectors:
As1 0.0024 0.0024 0.0024  3 Tc 2.55, 3 Cu 2.63
As2 0.4976 0.4976 0.4976  3 Tc 2.55, 3 Cu 2.63
Cu1 0.2500 0.2500 0.2500  6 As 2.63
Tc1 0.7500 0.7500 0.7500  6 As 2.55


[5]
Entry from Alexandria: crystalline SbAsP2 at its relaxed geometry (PBE-GGA).

## Properties
distance to the lowest polymorph of the same formula	2.3	kJ/mol of atoms
raw formation energy	2.5	kcal/mol of atoms

abc: 7.4348 7.4348 7.4348
angles: 29.49 29.49 29.49
Closest atoms and distances in Å follow each position.
Sites, in units of the cell vectors:
As1 0.7266 0.7266 0.7266  3 P 2.48
P1 0.0048 0.0048 0.0048  3 As 2.48
P2 0.2507 0.2507 0.2507  3 Sb 2.60, 3 P 2.87
Sb1 0.5179 0.5179 0.5179  3 P 2.60


[6]
Entry from Alexandria: crystalline K3TmF6 at its relaxed geometry (PBE-GGA).

## Properties
raw formation energy	-75.7	kcal/mol of atoms

abc: 6.7401 6.7401 6.7401
angles: 117.55 117.55 94.30
Closest atoms and distances in Å follow each position.
Sites, in units of the cell vectors:
K1 0.7500 0.2500 0.5000  4 F 2.67
K2 0.2500 0.7500 0.5000  4 F 2.67
K3 0.5000 0.5000 0.0000  2 F 2.42
Tm1 0.0000 0.0000 0.0000  6 F 2.13-2.16
F1 0.0000 0.6948 0.6948  1 Tm 2.13
F2 0.0000 0.3052 0.3052  1 Tm 2.13
F3 0.6948 0.0000 0.6948  1 Tm 2.13
F4 0.3052 0.0000 0.3052  1 Tm 2.13
F5 0.2356 0.2356 0.0000  1 Tm 2.16
F6 0.7644 0.7644 0.0000  1 Tm 2.16


[7]
Entry from Alexandria: crystalline LiHo6S5 at its relaxed geometry (PBE-GGA).

## Properties
raw formation energy	-35.5	kcal/mol of atoms

abc: 6.5625 6.5625 13.6216
angles: 90.00 90.00 120.00
Closest atoms and distances in Å follow each position.
Sites, in units of the cell vectors:
S1 0.6667 0.3333 0.0000  6 Ho 2.68
S2 0.3333 0.6667 0.5000  6 Ho 2.68
S3 0.3333 0.6667 0.0000  6 Ho 2.68
S4 0.6667 0.3333 0.5000  6 Ho 2.68
S5 0.3430 0.0000 0.2500  1 Li 2.25
S6 0.0000 0.3430 0.2500  1 Li 2.25
S7 0.6570 0.6570 0.2500  1 Li 2.25
S8 0.6570 0.0000 0.7500  1 Li 2.25
S9 0.0000 0.6570 0.7500  1 Li 2.25
S10 0.3430 0.3430 0.7500  1 Li 2.25
Ho1 0.6639 0.0000 0.1143  5 S 2.68-2.90, 1 Li 2.88
Ho2 0.0000 0.6639 0.1143  5 S 2.68-2.90, 1 Li 2.88
Ho3 0.3361 0.3361 0.1143  5 S 2.68-2.90, 1 Li 2.88
Ho4 0.3361 0.0000 0.6143  5 S 2.68-2.90, 1 Li 2.88
Ho5 0.0000 0.3361 0.6143  5 S 2.68-2.90, 1 Li 2.88
Ho6 0.6639 0.6639 0.6143  5 S 2.68-2.90, 1 Li 2.88
Ho7 0.0000 0.6639 0.3857  5 S 2.68-2.90, 1 Li 2.88
Ho8 0.6639 0.0000 0.3857  5 S 2.68-2.90, 1 Li 2.88
Ho9 0.3361 0.3361 0.3857  5 S 2.68-2.90, 1 Li 2.88
Ho10 0.0000 0.3361 0.8857  5 S 2.68-2.90, 1 Li 2.88
Ho11 0.3361 0.0000 0.8857  5 S 2.68-2.90, 1 Li 2.88
Ho12 0.6639 0.6639 0.8857  5 S 2.68-2.90, 1 Li 2.88
Li1 0.0000 0.0000 0.2500  3 S 2.25
Li2 0.0000 0.0000 0.7500  3 S 2.25


[8]
Entry from Alexandria: crystalline Na2AcZn2Sn2 at its relaxed geometry (PBE-GGA).

## Properties
energy relative to the elements	-0.359	eV per atom

abc: 4.7250 4.7250 10.0972
angles: 76.47 76.47 60.00
Closest atoms and distances in Å follow each position.
Sites, in units of the cell vectors:
Na1 0.1369 0.1369 0.5893  4 Sn 3.22-3.45, 3 Na 3.23, 3 Zn 3.36
Na2 0.8631 0.8631 0.4107  4 Sn 3.22-3.45, 3 Na 3.23, 3 Zn 3.36
Ac1 0.0000 0.0000 0.0000  6 Zn 3.40, 6 Sn 3.56
Zn1 0.5972 0.5972 0.2083  3 Sn 2.74
Zn2 0.4028 0.4028 0.7917  3 Sn 2.74
Sn1 0.7448 0.7448 0.7655  3 Zn 2.74
Sn2 0.2552 0.2552 0.2345  3 Zn 2.74


[9]
Entry from Alexandria: crystalline KCdIn2Au at its relaxed geometry (PBE-GGA).

## Properties
distance to the lowest polymorph of the same formula	0.0	kJ/mol of atoms
energy relative to the elements	-0.204	eV per atom

abc: 4.9356 4.8881 6.8947
angles: 110.76 110.97 90.00
Closest atoms and distances in Å follow each position.
Sites, in units of the cell vectors:
K1 0.4406 0.4406 0.8811  8 In 3.72-3.96, 4 Au 3.75, 4 Cd 3.80-3.92
Cd1 0.1961 0.6961 0.3923  2 Au 2.88, 2 In 2.98
In1 0.7017 0.2017 0.4033  2 Au 2.83, 2 In 3.04
In2 0.0523 0.0523 0.1046  1 Au 2.75, 2 Cd 2.98, 2 In 3.04
Au1 0.8215 0.8215 0.6429  3 In 2.75-2.83, 2 Cd 2.88


[10]
Entry from Alexandria: crystalline AcSiNiH at its relaxed geometry (PBE-GGA).

## Properties
uncorrected energy	-20.84	eV per cell

abc: 4.1735 4.1741 4.6362
angles: 90.00 90.00 120.00
Closest atoms and distances in Å follow each position.
Sites, in units of the cell vectors:
Ac1 0.9052 0.8105 0.7775  3 H 2.49
Si1 0.5719 0.1438 0.2928  3 Ni 2.42
Ni1 0.2386 0.4772 0.2565  1 H 1.60
H1 0.2386 0.4771 0.9124  1 Ni 1.60


[11]
Entry from Alexandria: crystalline AcNiGe at its relaxed geometry (PBE-GGA).

## Properties
distance to the lowest polymorph of the same formula	0.0	kJ/mol of atoms
energy relative to the elements	-0.643	eV per atom

abc: 4.5075 4.2176 4.2176
angles: 120.00 90.00 90.00
Closest atoms and distances in Å follow each position.
Sites, in units of the cell vectors:
Ni1 0.1667 0.6667 0.3333  3 Ge 2.44
Ac1 0.6666 0.3333 0.6667  6 Ge 3.32, 6 Ni 3.32
Ge1 0.1667 0.0000 0.0000  3 Ni 2.44